Compound: KYVO4
Source: Alexandria via LeMat-Bulk
Functional: PBE+U
Structure: relaxed

The space group is P2_1/m (No. 11) and the conventional cell measures 5.941, 5.952 and 7.370 Å, with angles of 90.00, 108.00 and 90.00 degrees. The inequivalent atoms are K at (0.214, 0.250, 0.441), Y at (0.321, 0.250, 0.960), V at (0.215, 0.750, 0.156), O at (0.018, 0.750, 0.925), O at (0.031, 0.750, 0.306) and O at (0.450, 0.527, 0.175).

The calculation puts the energy at -0.5451 Ry per atom. The calculated volume comes out at 17.71 Å³ per atom. The value obtained for the size of the total moment is 0.14 μB/atom.